Here is a relaxed LiCr2IO6 crystal from Alexandria. Energies are from GGA+U.

Output
Uncorrected energy in eV/atom: -6.17
Total magnetization in μB per cell: 6.00
Calculated volume in Å³/cell: 113.6
Symmetry: R3, No. 146

POSCAR file:
```
LiCr2IO6
1.0
2.674 1.544 4.585
-2.674 1.544 4.585
0.000 -3.088 4.585
Li Cr I O
1 2 1 6
Direct
0.000 0.000 0.000
0.281 0.281 0.281
0.792 0.792 0.792
0.489 0.489 0.489
0.092 0.649 0.424
0.155 0.561 0.920
0.424 0.092 0.649
0.561 0.920 0.155
0.649 0.424 0.092
0.920 0.155 0.561
```